Entry 1:
# NbSnCBr2

NbSnCBr2 after structural relaxation (PBE-GGA, the Alexandria database).

a b c (Å): 5.4519 5.4519 4.0516
angles (deg): 90.00 90.00 90.00
Closest atoms and distances in Å follow each position.
Atoms (fractional coordinates):
Nb (0.0000, 0.0000, 0.0000)  2 C 2.03
Sn (0.5000, 0.5000, 0.5000)  8 Br 3.40
C (0.0000, 0.0000, 0.5000)  2 Nb 2.03
Br (0.0000, 0.5000, 0.0000)  2 Nb 2.73
Br (0.5000, 0.0000, 0.0000)  2 Nb 2.73

Computed properties:
Energy relative to the elements, uncorrected (eV/f.u.): 2.71
Space-group type: P4/mmm, No. 123
Volume (Å³/atom): 24.09
Total energy (eV/cell): -23.93
Total magnetic moment (μB/cell): 0.8

***

Entry 2:
# HfAl3Br

HfAl3Br after structural relaxation (PBE-GGA, the Alexandria database).

a b c (Å): 5.4870 5.4870 5.4870
angles (deg): 90.00 90.00 90.00
Closest atoms and distances in Å follow each position.
Atoms (fractional coordinates):
Hf (0.0000, 0.0000, 0.0000)  6 Al 2.74
Al (0.0000, 0.0000, 0.5000)  2 Hf 2.74
Al (0.0000, 0.5000, 0.0000)  2 Hf 2.74
Al (0.5000, 0.0000, 0.0000)  2 Hf 2.74
Br (0.5000, 0.5000, 0.5000)  12 Al 3.88

Computed properties:
Energy relative to the elements, uncorrected (eV/f.u.): 4.56
Space-group type: Pm-3m, No. 221
Volume (Å³/atom): 33.04
Total energy (eV/cell): -18.30
Total magnetic moment (μB/cell): 3.6
Polymorph energy (0 for the lowest one) (kJ/mol of atoms): 0.00

***

Entry 3:
# CaRe2Tc

CaRe2Tc after structural relaxation (PBE-GGA, the Alexandria database).

a b c (Å): 2.7211 4.6530 5.3058
angles (deg): 90.00 100.03 90.00
Closest atoms and distances in Å follow each position.
Atoms (fractional coordinates):
Ca (0.0000, 0.0000, 0.0000)  2 Ca 2.72, 2 Tc 2.76, 4 Re 2.86
Re (0.2749, 0.5000, 0.7449)  4 Re 2.72-2.77, 2 Tc 2.78, 2 Ca 2.86
Re (0.7251, 0.5000, 0.2551)  4 Re 2.72-2.77, 2 Tc 2.78, 2 Ca 2.86
Tc (0.5000, 0.0000, 0.5000)  2 Tc 2.72, 2 Ca 2.76, 4 Re 2.78

Computed properties:
Formation energy from the elements (eV per atom): 0.592
Space-group type: P2/m, No. 10
Volume (Å³/atom): 16.54
Total energy (eV/cell): -34.90
Total magnetic moment (μB/cell): 0.0
Polymorph energy (0 for the lowest one) (kJ/mol of atoms): 12.41